A geometry-optimized HfTcAs structure. Source: the Alexandria database, functional PBE.

The size of the total moment comes out at 0.00 μB per cell. The calculation puts the energy above the most stable polymorph in this dataset at 279 meV per atom. The calculated formation energy comes out at -0.4714 eV per atom.

a b c (Å): 9.7555 3.2592 6.9504
angles (deg): 90.00 103.84 90.00
Closest atoms and distances in Å follow each position.
Space group Cm (No. 8)
Symmetry-distinct sites (fractional):
Hf  0.0000  0.0000  0.0000 (multiplicity 2)  5 Tc 2.69-2.90, 3 As 2.87-2.90
Hf  0.2209  0.0000  0.4261 (multiplicity 2)  4 As 2.63-2.80, 2 Tc 2.84
Tc  0.0395  0.5000  0.6717 (multiplicity 2)  4 As 2.55-2.68
Tc  0.2259  0.5000  0.0928 (multiplicity 2)  3 As 2.55-2.59, 4 Hf 2.69-2.84
As  0.2557  0.0000  0.8240 (multiplicity 2)  4 Tc 2.55-2.68, 1 Hf 2.70
As  0.4461  0.5000  0.3876 (multiplicity 2)  3 Tc 2.55-2.59, 3 Hf 2.63-2.80

A geometry-optimized Pr2EuHf structure. Source: the Alexandria database, functional PBE.

The size of the total moment comes out at 7.29 μB per cell. The calculated formation energy comes out at 0.1560 eV per atom.

a b c (Å): 3.5548 3.5548 10.3791
angles (deg): 90.00 90.00 90.00
Closest atoms and distances in Å follow each position.
Space group P4/mmm (No. 123)
Symmetry-distinct sites (fractional):
Pr  0.0000  0.0000  0.2176 (multiplicity 2)  4 Hf 3.38, 4 Pr 3.55
Eu  0.5000  0.5000  0.5000 (multiplicity 1)  4 Eu 3.55, 8 Pr 3.86
Hf  0.5000  0.5000  0.0000 (multiplicity 1)  8 Pr 3.38, 4 Hf 3.55

A geometry-optimized CsAcGe2Br8 structure. Source: the Alexandria database, functional PBE.

The size of the total moment comes out at 0.00 μB per cell. For the formation energy (no corrections), the calculation gives -1228 meV/atom.

a b c (Å): 6.8568 7.4393 10.5650
angles (deg): 85.76 89.95 84.25
Closest atoms and distances in Å follow each position.
Space group P-1 (No. 2)
Symmetry-distinct sites (fractional):
Cs  0.0000  0.0000  0.0000 (multiplicity 1)  6 Br 3.64-3.75
Ac  0.0000  0.0000  0.5000 (multiplicity 1)  6 Br 3.02-3.11
Ge  0.4457  0.4587  0.2865 (multiplicity 2)  2 Br 2.45-2.60
Br  0.2400  0.8199  0.2965 (multiplicity 2)  1 Ge 2.92, 1 Ac 3.02
Br  0.2457  0.3306  0.4763 (multiplicity 2)  1 Ge 2.60
Br  0.2512  0.3892  0.1055 (multiplicity 2)  1 Ge 2.45
Br  0.2770  0.8522  0.7174 (multiplicity 2)  1 Ge 2.85, 1 Ac 3.05

A geometry-optimized Li2TlTe structure. Source: the Alexandria database, functional PBE.

The size of the total moment comes out at 0.00 μB per cell. The calculation puts the energy above the most stable polymorph in this dataset at 86 meV per atom. For the formation energy (no corrections), the calculation gives -467 meV/atom.

a b c (Å): 4.2074 4.2074 10.6473
angles (deg): 90.00 90.00 90.00
Closest atoms and distances in Å follow each position.
Space group I-4m2 (No. 119)
Symmetry-distinct sites (fractional):
Li  0.0000  0.0000  0.0000 (multiplicity 2)  4 Tl 2.98
Li  0.0000  0.5000  0.2500 (multiplicity 2)  4 Te 2.98
Tl  0.0000  0.0000  0.5000 (multiplicity 2)  4 Li 2.98
Te  0.0000  0.5000  0.7500 (multiplicity 2)  4 Li 2.98

A geometry-optimized MgCoSn2 structure. Source: the Alexandria database, functional PBE.

The size of the total moment comes out at 1.79 μB per cell. The calculated formation energy comes out at 0.0247 eV per atom.

a b c (Å): 3.3562 3.3562 25.1489
angles (deg): 90.00 90.00 120.00
Closest atoms and distances in Å follow each position.
Space group R-3m (No. 166, hexagonal axes)
Symmetry-distinct sites (fractional):
Mg  0.0000  0.0000  0.0000 (multiplicity 3)  6 Sn 3.11, 6 Mg 3.36
Co  0.0000  0.0000  0.5000 (multiplicity 3)  6 Sn 2.62
Sn  0.0000  0.0000  0.2366 (multiplicity 6)  3 Co 2.62

A geometry-optimized LiIBrCl2 structure. Source: the Alexandria database, functional PBE.

The size of the total moment comes out at 0.00 μB per cell. For the formation energy (no corrections), the calculation gives -212 meV/atom.

a b c (Å): 5.3233 5.3233 5.9595
angles (deg): 90.00 90.00 90.00
Closest atoms and distances in Å follow each position.
Space group P4/mmm (No. 123)
Symmetry-distinct sites (fractional):
Li  0.0000  0.0000  0.0000 (multiplicity 1)  4 I 3.76, 8 Cl 4.00
I  0.5000  0.5000  0.0000 (multiplicity 1)  2 Br 2.98
Br  0.5000  0.5000  0.5000 (multiplicity 1)  4 Cl 2.66, 2 I 2.98
Cl  0.0000  0.5000  0.5000 (multiplicity 2)  2 Br 2.66

> Which value of size of the total moment does entry 4 give?

0.00 μB per cell

> The highest size of the total moment belongs to which entry?

Pr2EuHf

> Look up the size of the total moment of the first one.

0.00 μB per cell

> Which value of size of the total moment does entry 6 give?

0.00 μB per cell